Model one:
HoEr3Bi2 | GGA-PBE | optimized geometry

```
HoEr3Bi2
1.0
4.279 0.000 0.000
-2.139 10.492 -0.688
0.000 -5.412 8.356
Bi Er Ho
4 6 2
Cartesian
2.139 4.050 1.429 Bi
2.139 -0.776 1.442 Bi
0.000 5.857 6.226 Bi
0.000 1.030 6.240 Bi
2.139 6.303 4.048 Er
2.139 1.322 3.799 Er
2.139 -1.407 6.481 Er
0.000 6.488 1.187 Er
0.000 -1.223 3.620 Er
0.000 3.758 3.869 Er
2.139 3.382 6.874 Ho
0.000 1.698 0.795 Ho
```

Calculated values
Size of the total moment = 0.00 μB/f.u.
Crystal system = monoclinic



Model two:
HoEr3Bi2 | GGA-PBE | optimized geometry

```
HoEr3Bi2
1.0
4.528 0.000 0.000
0.000 4.528 0.000
0.000 0.000 8.516
Bi Er Ho
2 3 1
Cartesian
2.264 0.000 6.077 Bi
0.000 2.264 2.439 Bi
0.000 2.264 5.596 Er
2.264 0.000 2.920 Er
0.000 0.000 0.000 Er
2.264 2.264 0.000 Ho
```

Calculated values
Size of the total moment = 0.00 μB/f.u.
Crystal system = tetragonal



Most stable to least stable, the ends of the list are model two and model one.



Model one:
HoEr3Bi3 | GGA-PBE | optimized geometry

```
HoEr3Bi3
1.0
9.320 0.000 0.000
0.000 9.320 0.000
0.000 0.000 9.320
Bi Er Ho
12 12 4
Cartesian
9.319 2.322 8.158 Bi
6.998 3.497 4.662 Bi
4.662 6.998 3.497 Bi
4.659 2.338 1.163 Bi
6.982 5.823 0.001 Bi
8.158 9.319 2.322 Bi
2.322 8.158 9.319 Bi
2.338 1.163 4.659 Bi
1.163 4.659 2.338 Bi
3.497 4.662 6.998 Bi
0.001 6.982 5.823 Bi
5.823 0.001 6.982 Bi
5.353 0.693 3.967 Er
1.644 7.677 3.016 Er
6.304 3.017 7.677 Er
1.643 1.643 1.643 Er
6.304 6.304 6.304 Er
3.967 5.353 0.693 Er
7.677 6.304 3.017 Er
8.628 8.628 8.628 Er
3.017 7.677 6.304 Er
7.677 3.016 1.644 Er
3.016 1.644 7.677 Er
0.693 3.967 5.353 Er
3.977 3.977 3.977 Ho
0.683 5.343 8.637 Ho
8.637 0.683 5.343 Ho
5.343 8.637 0.683 Ho
```

Calculated values
Size of the total moment = 0.00 μB/f.u.
Crystal system = cubic



Model two:
HoEr3Bi3 | GGA-PBE | optimized geometry

```
HoEr3Bi3
1.0
9.016 0.000 0.000
4.508 7.808 0.000
4.508 2.603 6.249
Er Bi Ho
6 6 2
Cartesian
12.381 5.837 1.515 Er
10.151 8.436 4.734 Er
6.786 7.804 1.515 Er
5.650 4.573 4.734 Er
7.880 1.975 1.515 Er
11.246 2.607 4.734 Er
11.765 5.673 4.643 Bi
9.985 7.820 1.605 Bi
7.236 7.352 4.643 Bi
6.267 4.737 1.605 Bi
8.046 2.591 4.643 Bi
10.795 3.058 1.605 Bi
9.016 5.205 0.007 Ho
9.016 5.205 6.242 Ho
```

Calculated values
Size of the total moment = 0.00 μB/f.u.
Crystal system = trigonal



Most stable to least stable, the ends of the list are model one and model two.